## HgAsSe2Cl (GGA-PBE)

Data for a relaxed structure of HgAsSe2Cl.

Output
Crystal system: tetragonal
E_form (uncorrected) in eV per atom: 0.880
Distance to the lowest polymorph of the same formula in eV per atom: 0.000
SG: No. 123

a b c (Å): 5.1981 5.1981 5.4501
angles (deg): 90.00 90.00 90.00
Site moments in Bohr magnetons follow the coordinates.
Element x y z (fractional)
As 0.0000 0.0000 0.5000  0.05
Se 0.5000 0.0000 0.0000  0.10
Se 0.0000 0.5000 0.0000  0.10
Cl 0.5000 0.5000 0.5000  0.03
Hg 0.0000 0.0000 0.0000  0.00

## Rb4Pu3InO12 (GGA-PBE)

Data for a relaxed structure of Rb4Pu3InO12.

Output
Crystal system: cubic
E_form (uncorrected) in eV per atom: -2.273
SG: No. 229

a b c (Å): 7.4361 7.4361 7.4361
angles (deg): 109.47 109.47 109.47
Site moments in Bohr magnetons follow the coordinates.
Element x y z (fractional)
Pu 0.0000 0.5000 0.5000  2.81
Pu 0.5000 0.0000 0.5000  2.81
Pu 0.5000 0.5000 0.0000  2.81
Rb 0.0000 0.0000 0.5000  0.00
Rb 0.0000 0.5000 0.0000  0.00
Rb 0.5000 0.0000 0.0000  0.00
Rb 0.5000 0.5000 0.5000  0.00
O 0.7363 0.7363 0.0000  -0.12
O 0.2500 0.7500 0.5000  -0.12
O 0.2637 0.0000 0.2637  -0.12
O 0.7500 0.2500 0.5000  -0.12
O 0.7500 0.5000 0.2500  -0.12
O 0.5000 0.7500 0.2500  -0.12
O 0.0000 0.7363 0.7363  -0.12
O 0.0000 0.2637 0.2637  -0.12
O 0.5000 0.2500 0.7500  -0.12
O 0.7363 0.0000 0.7363  -0.12
O 0.2500 0.5000 0.7500  -0.12
O 0.2637 0.2637 0.0000  -0.12
In 0.0000 0.0000 0.0000  0.00